[1]
The following is a DFT calculation (PBE) of Ca2PmAu9 after structural relaxation.

Summary:
mass density = 12.91 g/cm3
volume = 257.06 Å³ per cell
formation energy from the elements = -0.526 eV/atom
crystal system = trigonal

abc: 5.5772 5.5772 10.0714
angles: 73.93 73.93 60.00
Last column: nearest neighbours and their distance in Å.
Element x y z (fractional)
Ca  0.8582  0.8582  0.4256  12 Au 3.23-3.44, 3 Ca 3.52
Ca  0.1418  0.1418  0.5744  12 Au 3.23-3.44, 3 Ca 3.52
Au  0.6673  0.6673  0.9980  9 Au 2.90-3.22, 3 Pm 3.22
Au  0.9171  0.4137  0.2555  7 Au 2.77-2.94
Au  0.0829  0.5863  0.7445  7 Au 2.77-2.94
Au  0.5863  0.0829  0.7445  7 Au 2.77-2.94
Au  0.5000  0.5000  0.5000  6 Au 2.84
Au  0.4137  0.4137  0.2555  7 Au 2.77-2.94
Au  0.5863  0.5863  0.7445  7 Au 2.77-2.94
Au  0.4137  0.9171  0.2555  7 Au 2.77-2.94
Au  0.3327  0.3327  0.0020  9 Au 2.90-3.22, 3 Pm 3.22
Pm  0.0000  0.0000  0.0000  6 Au 3.22

***

[2]
The following is a DFT calculation (PBE) of In4HgI2Cl after structural relaxation.

Summary:
formation energy without anion corrections = -0.3437 eV/atom
mass density = 5.62 g/cm3
volume = 560.89 Å³ per cell
crystal system = monoclinic

abc: 9.2885 9.2885 8.4363
angles: 117.09 117.09 88.73
Last column: nearest neighbours and their distance in Å.
Element x y z (fractional)
I  0.5000  0.5000  0.0000  6 In 3.39-3.47
I  0.5000  0.0000  0.5000  6 In 3.37-3.49
I  0.0000  0.0000  0.5000  6 In 3.39-3.47
I  0.5000  0.0000  0.0000  6 In 3.37-3.49
In  0.7591  0.7409  0.9742  1 Hg 3.14, 2 Cl 3.18-3.19, 3 I 3.37-3.47
In  0.7591  0.7409  0.5258  1 Hg 3.14, 2 Cl 3.18-3.19, 3 I 3.37-3.47
In  0.7601  0.2818  0.5207  1 Cl 3.11, 2 Hg 3.15-3.16, 2 I 3.39-3.48
In  0.7818  0.2601  0.0207  1 Cl 3.11, 2 Hg 3.15-3.16, 2 I 3.39-3.48
In  0.2399  0.7182  0.4793  1 Cl 3.11, 2 Hg 3.15-3.16, 2 I 3.39-3.48
In  0.2182  0.7399  0.9793  1 Cl 3.11, 2 Hg 3.15-3.16, 2 I 3.39-3.48
In  0.2409  0.2591  0.0258  1 Hg 3.14, 2 Cl 3.18-3.19, 3 I 3.37-3.47
In  0.2409  0.2591  0.4742  1 Hg 3.14, 2 Cl 3.18-3.19, 3 I 3.37-3.47
Cl  0.5000  0.5000  0.5000  6 In 3.11-3.19
Cl  0.0000  0.0000  0.0000  6 In 3.11-3.19
Hg  0.0000  0.5000  0.5000  6 In 3.14-3.16
Hg  0.0000  0.5000  0.0000  6 In 3.14-3.16

***

[3]
The following is a DFT calculation (PBE) of MgFeSb2 after structural relaxation.

Summary:
formation energy without anion corrections = 0.1001 eV/atom
mass density = 5.80 g/cm3
volume = 92.68 Å³ per cell
crystal system = monoclinic

abc: 5.1774 5.1774 6.3224
angles: 70.45 70.45 35.74
Last column: nearest neighbours and their distance in Å.
Element x y z (fractional)
Sb  0.0252  0.0252  0.0272  2 Fe 2.57
Sb  0.8441  0.8441  0.7083  2 Fe 2.58
Mg  0.1778  0.1778  0.3963  3 Fe 2.65-2.78
Fe  0.4529  0.4529  0.3683  4 Sb 2.57-2.58, 3 Mg 2.65-2.78

***

[4]
The following is a DFT calculation (PBE) of SrNi2Mo after structural relaxation.

Summary:
mass density = 7.67 g/cm3
volume = 65.17 Å³ per cell
formation energy from the elements = 0.890 eV/atom
crystal system = cubic

abc: 4.5169 4.5169 4.5169
angles: 60.00 60.00 60.00
Last column: nearest neighbours and their distance in Å.
Element x y z (fractional)
Mo  0.5000  0.5000  0.5000  4 Ni 2.77, 4 Sr 2.77
Sr  0.2500  0.2500  0.2500  4 Mo 2.77, 4 Ni 2.77
Ni  0.7500  0.7500  0.7500  4 Mo 2.77, 4 Ni 2.77
Ni  0.0000  0.0000  0.0000  4 Ni 2.77, 4 Sr 2.77

***

[5]
The following is a DFT calculation (PBE) of TaZn2Si after structural relaxation.

Summary:
formation energy without anion corrections = -0.0313 eV/atom
mass density = 9.45 g/cm3
volume = 59.75 Å³ per cell
crystal system = tetragonal

abc: 3.7791 3.7764 4.1865
angles: 90.00 90.00 90.00
Last column: nearest neighbours and their distance in Å.
Element x y z (fractional)
Si  0.5000  0.0000  0.5000  4 Ta 2.67, 8 Zn 2.82
Zn  0.0000  0.0000  0.0000  4 Zn 2.67, 4 Ta 2.82, 4 Si 2.82
Zn  0.5000  0.5000  0.0000  4 Zn 2.67, 4 Si 2.82, 4 Ta 2.82
Ta  0.0000  0.5000  0.5000  4 Si 2.67, 8 Zn 2.82

***

[6]
The following is a DFT calculation (PBE) of Fe4W5 after structural relaxation.

Summary:
mass density = 15.29 g/cm3
volume = 124.05 Å³ per cell
formation energy from the elements = 0.262 eV/atom
crystal system = tetragonal

abc: 5.9977 5.9977 5.9977
angles: 95.89 95.89 142.63
Last column: nearest neighbours and their distance in Å.
Element x y z (fractional)
Fe  0.0000  0.6435  0.6435  5 Fe 2.31-2.52
Fe  0.3565  0.0000  0.3565  5 Fe 2.31-2.52
Fe  0.0000  0.3565  0.3565  5 Fe 2.31-2.52
Fe  0.6435  0.0000  0.6435  5 Fe 2.31-2.52
W  0.0000  0.0000  0.0000  8 W 2.76, 4 Fe 2.86
W  0.6742  0.3258  0.0000  6 W 2.58-2.80, 6 Fe 2.63-2.79
W  0.3258  0.6742  0.0000  6 W 2.58-2.80, 6 Fe 2.63-2.79
W  0.3258  0.3258  0.6516  6 W 2.58-2.80, 6 Fe 2.63-2.79
W  0.6742  0.6742  0.3484  6 W 2.58-2.80, 6 Fe 2.63-2.79

***

[7]
The following is a DFT calculation (PBE) of Co2HgOs after structural relaxation.

Summary:
mass density = 14.64 g/cm3
volume = 57.71 Å³ per cell
formation energy from the elements = 0.531 eV/atom
crystal system = orthorhombic

abc: 2.7151 3.4601 6.1430
angles: 90.00 90.00 90.00
Last column: nearest neighbours and their distance in Å.
Element x y z (fractional)
Os  0.5000  0.5000  0.8139  5 Co 2.42-2.47
Co  0.5000  0.5000  0.2075  1 Os 2.42, 4 Co 2.55
Co  0.0000  0.0000  0.9971  4 Os 2.47, 6 Co 2.55-2.72
Hg  0.0000  0.0000  0.4815  2 Hg 2.72, 5 Co 2.77-2.98, 4 Os 3.00